## CrSnO2 (GGA+U)

Data for a geometry-optimized CrSnO2 structure.

Unit cell a=3.3396 b=3.3396 c=5.0729 alpha=90.00 beta=90.00 gamma=90.00
Space group P4/mmm (No. 123)
Unique sites:
Cr (0.0000, 0.0000, 0.0000)
Sn (0.5000, 0.5000, 0.5000)
O (0.0000, 0.0000, 0.5000)
O (0.5000, 0.5000, 0.0000)

Summary:
Crystal system ... tetragonal
Magnetic moment ... 1.03 μB/atom
Volume ... 14.144 A^3/atom
DOS at the Fermi energy ... 1.25 states/eV per cell
VASP energy ... -6.330 eV per atom